12
Lattice="6.043 -0.002 -1.706 -0.656 6.468 -2.364 -1.108 -1.019 7.650" Properties=species:S:1:pos:R:3 comment="Ag4TeS PBE relaxed" crystal_system=monoclinic e_form_raw_mev_per_atom=1.0 volume_a3_per_cell=271.1 pbc="T T T"
Ag 0.581 2.722 2.227
Ag 2.504 5.100 -2.716
Ag 1.776 0.346 6.296
Ag -0.138 1.367 -0.498
Ag 3.699 2.724 1.353
Ag 4.417 4.079 4.078
Ag 3.368 5.955 0.165
Ag 0.911 -0.509 3.415
S 4.950 0.582 0.200
S -0.671 4.864 3.380
Te 1.553 3.750 -0.296
Te 2.726 1.696 3.876



9
Lattice="4.242 0.000 0.000 -2.121 6.579 -1.201 0.000 -2.291 6.821" Properties=species:S:1:pos:R:3 comment="As2Pd5Se2 PBE relaxed" crystal_system=monoclinic e_form_raw_mev_per_atom=-238.1 volume_a3_per_cell=178.7 pbc="T T T"
Se 2.121 3.951 0.599
Se 0.000 0.337 5.021
As 2.121 0.661 1.588
As 0.000 3.627 4.031
Pd 0.000 0.000 0.000
Pd 0.000 1.211 2.647
Pd 0.000 4.889 -0.465
Pd 2.121 -0.601 6.084
Pd 2.121 3.077 2.973



12
Lattice="5.057 0.000 0.000 0.000 7.255 0.000 0.000 0.000 9.167" Properties=species:S:1:pos:R:3 comment="CaY3Ag2 PBE relaxed" crystal_system=orthorhombic e_form_kj_per_mol_atoms=-19 volume_a3_per_cell=336.3 pbc="T T T"
Y 2.529 1.091 7.601
Y 0.000 7.095 0.598
Y 0.000 2.542 2.924
Y 2.529 4.718 1.566
Y 0.000 6.169 6.243
Y 0.000 3.468 8.569
Ag 0.000 5.480 3.233
Ag 2.529 5.397 7.861
Ag 2.529 1.769 1.305
Ag 0.000 1.853 5.933
Ca 2.529 3.788 5.202
Ca 2.529 0.161 3.964



9
Lattice="-3.360 1.047 -1.847 0.824 -2.544 -2.940 -5.440 -7.976 5.375" Properties=species:S:1:pos:R:3 comment="ErPaSi2Rh5 PBE relaxed" crystal_system=tetragonal e_form_raw_mev_per_atom=-576.1 volume_a3_per_cell=174.5 pbc="T T T"
Si -1.591 -2.332 1.572
Si -3.849 -5.644 3.803
Rh -2.628 -0.867 0.013
Rh -4.080 -7.858 2.968
Rh -0.536 -2.662 -0.533
Rh -6.172 -6.063 3.514
Rh -2.720 -3.988 2.687
Er -3.988 -4.737 0.294
Pa 0.000 0.000 0.000



19
Lattice="7.643 0.000 0.000 -3.822 8.690 1.814 0.000 -0.939 9.384" Properties=species:S:1:pos:R:3 comment="Pr12Tl5Hg2 PBE relaxed" crystal_system=monoclinic e_form_kj_per_mol_atoms=-17 volume_a3_per_cell=636.3 pbc="T T T"
Hg 5.208 0.000 0.000
Hg 2.435 0.000 0.000
Tl 3.822 4.483 3.355
Tl 0.000 -0.470 4.692
Tl 0.000 5.081 3.282
Tl 0.000 3.268 7.842
Tl 3.822 2.670 7.915
Pr 3.822 7.816 3.453
Pr 5.805 2.786 1.373
Pr 1.838 2.786 1.373
Pr 5.728 2.144 5.233
Pr 1.906 5.607 5.964
Pr 1.915 2.144 5.233
Pr 0.000 7.959 8.281
Pr 0.000 -0.065 7.744
Pr -1.984 4.964 9.824
Pr 1.984 4.964 9.824
Pr -1.906 5.607 5.964
Pr 3.822 -0.208 2.917



Sequential density of states at the Fermi level output: 0.3 3.7 11.9 4.1 20.3 states/eV/cell